[1]
First-principles (PBE-GGA) data for crystalline InTe2W at its relaxed geometry, as listed in the Alexandria database.

```
InTe2W
1.0
10.629 0.046 0.027
10.087 3.351 0.027
10.087 1.654 2.915
In Te W
1 2 1
Cartesian
23.473 3.849 2.262
0.413 0.068 0.040
6.949 1.140 0.670
15.370 2.521 1.481
```

**Energy relative to the elements, uncorrected**: 271 meV per atom
**DOS(E_F)**: 0.78 states/eV/atom


[2]
First-principles (PBE-GGA) data for crystalline ErMg2Ag2 at its relaxed geometry, as listed in the Alexandria database.

```
ErMg2Ag2
1.0
-1.316 -1.401 4.539
-1.100 -4.719 0.905
5.294 -1.003 1.230
Er Mg Ag
1 2 2
Cartesian
-0.658 -0.700 2.269
1.905 -3.380 4.868
0.974 -3.743 1.806
-0.705 -2.883 4.259
3.583 -4.240 2.415
```

**DOS(E_F)**: 0.56 states/eV/atom
**Energy of formation**: -168 meV per atom
**Distance to the lowest polymorph of the same formula**: 0.30 eV per formula unit


[3]
First-principles (PBE-GGA) data for crystalline Rb2GaCF6 at its relaxed geometry, as listed in the Alexandria database.

```
Rb2GaCF6
1.0
-4.101 1.650 3.515
2.979 -1.942 4.388
1.635 4.299 4.428
C Ga Rb F
1 1 2 6
Cartesian
-0.561 -0.146 3.951
0.000 0.000 0.000
-1.514 2.901 5.947
2.027 1.105 6.383
0.806 2.621 4.248
-0.293 1.385 8.082
-0.276 -0.072 1.943
-0.846 -0.220 5.959
-2.360 0.767 3.730
1.238 -1.059 4.173
```

**Energy relative to the elements, uncorrected**: -1799 meV per atom
**DOS(E_F)**: 0.00 states/eV/atom


[4]
First-principles (PBE-GGA) data for crystalline La2BiOsRh at its relaxed geometry, as listed in the Alexandria database.

```
La2BiOsRh
1.0
-3.181 -4.774 1.858
3.375 -0.922 3.409
-2.981 3.504 3.899
Rh Os Bi La
1 1 1 2
Cartesian
-1.394 -1.096 4.583
1.687 -0.461 1.705
0.000 0.000 0.000
-1.490 1.752 1.949
-1.591 -2.387 0.929
```

**DOS(E_F)**: 1.00 states/eV/atom
**Energy of formation**: 1170 meV per atom


In order of appearance, total magnetization = 0.000, 0.000, 0.100, 0.238 μB/atom.